[1]
This record from Alexandria via LeMat-Bulk describes an optimized crystal structure of AlTl2S. The functional is PBE.

Structure (POSCAR):
```
AlTl2S
1.0
-3.133 1.314 -5.566
-1.408 -6.328 -0.702
-7.481 -1.694 -0.008
Tl Al S
4 2 2
Direct
0.628 0.125 0.250
0.375 0.372 0.750
0.122 0.625 0.250
0.875 0.878 0.750
0.250 0.750 0.500
0.500 0.500 0.000
0.750 0.250 0.500
0.000 0.000 0.000
```

[2]
This record from Alexandria via LeMat-Bulk describes an optimized crystal structure of AlTlS2. The functional is PBE.

Structure (POSCAR):
```
AlTlS2
1.0
6.558 0.000 0.000
0.000 10.009 0.000
0.000 0.000 6.410
S Al Tl
8 4 4
Direct
0.024 0.425 0.647
0.368 0.315 0.073
0.868 0.185 0.073
0.976 0.575 0.147
0.524 0.075 0.647
0.132 0.815 0.573
0.632 0.685 0.573
0.476 0.925 0.147
0.042 0.375 0.994
0.458 0.875 0.494
0.958 0.625 0.494
0.542 0.125 0.994
0.013 0.879 0.035
0.987 0.121 0.535
0.487 0.379 0.535
0.513 0.621 0.035
```

[3]
This record from Alexandria via LeMat-Bulk describes an optimized crystal structure of AlTlS2. The functional is PBE.

Structure (POSCAR):
```
AlTlS2
1.0
3.711 -0.001 0.000
-1.859 6.318 -0.003
-1.823 2.117 8.757
S Al Tl
4 2 2
Direct
0.512 0.048 0.630
0.220 0.688 0.400
0.198 0.060 0.997
0.834 0.535 0.789
0.673 0.156 0.849
0.340 0.687 0.647
0.895 0.087 0.351
0.561 0.601 0.162
```

[4]
This record from Alexandria via LeMat-Bulk describes an optimized crystal structure of AlTlS2. The functional is PBE.

Structure (POSCAR):
```
AlTlS2
1.0
17.054 0.000 0.369
2.465 5.207 -4.580
-2.465 5.207 4.580
Tl S Al
8 16 8
Direct
0.886 0.861 0.040
0.609 0.042 0.303
0.614 0.540 0.361
0.114 0.139 0.960
0.386 0.460 0.639
0.891 0.803 0.542
0.109 0.197 0.458
0.391 0.958 0.697
0.249 0.309 0.315
0.921 0.319 0.567
0.750 0.690 0.190
0.575 0.571 0.797
0.925 0.297 0.071
0.079 0.681 0.433
0.749 0.185 0.191
0.075 0.703 0.929
0.421 0.933 0.181
0.751 0.691 0.685
0.251 0.815 0.809
0.750 0.184 0.684
0.250 0.816 0.316
0.579 0.067 0.819
0.425 0.429 0.203
0.250 0.310 0.810
0.165 0.627 0.750
0.665 0.750 0.873
0.335 0.250 0.127
0.336 0.743 0.126
0.664 0.257 0.874
0.835 0.373 0.250
0.836 0.374 0.757
0.164 0.626 0.243
```

[5]
This record from Alexandria via LeMat-Bulk describes an optimized crystal structure of AlTlS2. The functional is PBE.

Structure (POSCAR):
```
AlTlS2
1.0
-5.082 2.809 -3.783
-3.998 0.371 5.648
-2.994 5.515 1.770
S Al Tl
4 2 2
Direct
0.230 0.625 0.250
0.520 0.125 0.250
0.875 0.770 0.750
0.375 0.480 0.750
0.500 0.500 0.000
0.250 0.750 0.500
0.750 0.250 0.500
0.000 0.000 0.000
```

[6]
This record from Alexandria via LeMat-Bulk describes an optimized crystal structure of AlTlS3. The functional is PBE.

Structure (POSCAR):
```
AlTlS3
1.0
5.140 0.000 0.000
0.000 5.140 0.000
0.000 0.000 5.140
S Tl Al
3 1 1
Direct
0.500 0.000 0.000
0.000 0.500 0.000
0.000 0.000 0.500
0.000 0.000 0.000
0.500 0.500 0.500
```

[7]
This record from Alexandria via LeMat-Bulk describes an optimized crystal structure of AlTlS2. The functional is PBE.

Structure (POSCAR):
```
AlTlS2
1.0
-0.955 7.947 -3.536
-1.756 1.169 3.131
4.655 1.219 4.439
S Tl Al
4 2 2
Direct
0.333 0.270 0.514
0.526 0.958 0.124
0.163 0.567 0.902
0.780 0.248 0.544
0.801 0.571 0.897
0.037 0.834 0.379
0.541 0.342 0.355
0.303 0.088 0.862
```

[8]
This record from Alexandria via LeMat-Bulk describes an optimized crystal structure of AlTlS3. The functional is PBE.

Structure (POSCAR):
```
AlTlS3
1.0
4.751 0.000 0.000
0.000 4.751 0.000
0.000 0.000 4.751
S Tl Al
3 1 1
Direct
0.000 0.500 0.000
0.500 0.000 0.000
0.000 0.000 0.500
0.500 0.500 0.500
0.000 0.000 0.000
```

[9]
This record from Alexandria via LeMat-Bulk describes an optimized crystal structure of AlTlS2. The functional is PBE.

Structure (POSCAR):
```
AlTlS2
1.0
5.957 0.000 0.000
0.000 5.957 0.000
2.979 2.979 5.360
Al Tl S
2 2 4
Direct
0.500 0.500 0.000
0.250 0.750 0.500
0.750 0.250 0.500
0.000 0.000 0.000
0.456 0.956 0.088
0.706 0.706 0.588
0.044 0.544 0.912
0.294 0.294 0.412
```

[10]
This record from Alexandria via LeMat-Bulk describes an optimized crystal structure of AlTlS2. The functional is PBE.

Structure (POSCAR):
```
AlTlS2
1.0
6.856 0.000 0.000
0.000 3.468 0.000
0.000 0.000 17.054
Al Tl S
4 4 8
Direct
0.933 0.250 0.075
0.567 0.750 0.575
0.067 0.750 0.925
0.433 0.250 0.425
0.100 0.250 0.648
0.900 0.750 0.352
0.400 0.750 0.148
0.600 0.250 0.852
0.226 0.250 0.005
0.460 0.750 0.334
0.274 0.750 0.505
0.540 0.250 0.666
0.726 0.250 0.495
0.774 0.750 0.995
0.040 0.250 0.834
0.960 0.750 0.166
```

[11]
This record from Alexandria via LeMat-Bulk describes an optimized crystal structure of AlTlS2. The functional is PBE.

Structure (POSCAR):
```
AlTlS2
1.0
-0.400 0.331 -3.874
3.578 -1.491 -0.497
-2.202 -5.214 -0.218
S Tl Al
2 1 1
Direct
0.000 0.000 0.000
0.500 0.500 0.500
0.500 0.500 0.000
0.000 0.000 0.500
```

[12]
This record from Alexandria via LeMat-Bulk describes an optimized crystal structure of AlTlS2. The functional is PBE.

Structure (POSCAR):
```
AlTlS2
1.0
-2.730 -1.938 1.784
3.627 -0.471 1.006
-0.777 6.472 5.838
S Tl Al
2 1 1
Direct
0.667 0.333 0.359
0.333 0.667 0.713
0.000 0.000 0.916
0.333 0.667 0.466
```

no.,E_tot (eV/atom),ΔE_f (raw) (kcal/mol of atoms)
1,-2.99,3.69
2,-4.43,-19.32
3,-4.40,-18.72
4,-4.49,-20.62
5,-4.43,-19.45
6,-2.95,17.16
7,-4.41,-18.77
8,-3.92,-5.09
9,-4.08,-11.19
10,-4.36,-17.72
11,-3.81,-4.98
12,-4.31,-16.63